No. 1
Material: AcHo2Fe
Method: DFT, PBE
State: optimized geometry

Values from the calculation:
- energy above the lowest structure with this stoichiometry (meV per atom) = 0
- DFT total energy (hartree per atom) = -0.1953
- magnetization (μB/f.u.) = 1.4
- calculated formation energy (eV/f.u.) = 0.47

Geometry as CIF:
```
data_AcHo2Fe
_chemical_formula_sum 'Ac1 Ho2 Fe1'
_cell_length_a 3.505
_cell_length_b 3.505
_cell_length_c 9.189
_cell_angle_alpha 90.00
_cell_angle_beta 90.00
_cell_angle_gamma 90.00
_symmetry_space_group_name_H-M 'P 4/m m m'
_symmetry_Int_Tables_number 123
_symmetry_space_group_name_Hall '-P 4 2'
loop_
_atom_site_label
_atom_site_type_symbol
_atom_site_fract_x
_atom_site_fract_y
_atom_site_fract_z
Ac1 Ac 0.000 0.000 0.000
Ho1 Ho 0.500 0.500 0.327
Fe1 Fe 0.000 0.000 0.500
```

No. 2
Material: PrNd6Cd
Method: DFT, PBE
State: optimized geometry

Values from the calculation:
- energy above the lowest structure with this stoichiometry (meV per atom) = 63
- DFT total energy (hartree per atom) = -0.1566
- magnetization (μB/f.u.) = 0.0
- calculated formation energy (eV/f.u.) = 0.22

Geometry as CIF:
```
data_PrNd6Cd
_chemical_formula_sum 'Pr1 Nd6 Cd1'
_cell_length_a 6.511
_cell_length_b 6.512
_cell_length_c 6.519
_cell_angle_alpha 95.43
_cell_angle_beta 95.34
_cell_angle_gamma 95.53
_symmetry_space_group_name_H-M 'P -1'
_symmetry_Int_Tables_number 2
loop_
_symmetry_equiv_pos_as_xyz
'x,y,z'
'-x,-y,-z'
loop_
_atom_site_label
_atom_site_type_symbol
_atom_site_fract_x
_atom_site_fract_y
_atom_site_fract_z
Pr1 Pr 0.000 0.000 0.000
Nd1 Nd 0.050 0.261 0.547
Nd2 Nd 0.262 0.545 0.050
Nd3 Nd 0.454 0.950 0.738
Cd1 Cd 0.500 0.500 0.500
```

No. 3
Material: Ba2S2O7
Method: DFT, PBE
State: optimized geometry

Values from the calculation:
- formation energy without anion corrections (eV/atom) = -1.91
- DFT total energy (hartree per atom) = -0.2264
- magnetization (μB/f.u.) = 0.0

Geometry as CIF:
```
data_Ba2S2O7
_chemical_formula_sum 'Ba4 S4 O14'
_cell_length_a 8.645
_cell_length_b 9.148
_cell_length_c 4.762
_cell_angle_alpha 90.00
_cell_angle_beta 98.24
_cell_angle_gamma 90.00
_symmetry_space_group_name_H-M 'C 1 2/m 1'
_symmetry_Int_Tables_number 12
loop_
_symmetry_equiv_pos_as_xyz
'x,y,z'
'-x,-y,-z'
'-x,y,-z'
'x,-y,z'
'x+1/2,y+1/2,z'
'-x+1/2,-y+1/2,-z'
'-x+1/2,y+1/2,-z'
'x+1/2,-y+1/2,z'
loop_
_atom_site_label
_atom_site_type_symbol
_atom_site_fract_x
_atom_site_fract_y
_atom_site_fract_z
Ba1 Ba 0.000 0.242 0.000
S1 S 0.238 0.500 0.448
O1 O 0.000 0.500 0.500
O2 O 0.140 0.000 0.291
O3 O 0.234 0.134 0.727
```

Short version: mass density = 9.01, 6.82, 4.02 g cm⁻³, in the order given.